Record 1
Computed, not measured: a relaxed Pu3I7Br crystal at the GGA-PBE level of DFT.

a = 7.3447 Å, b = 8.9745 Å, c = 8.9745 Å
α = 120.00°, β = 90.00°, γ = 90.00°
Closest atoms and distances in Å follow each position.
Element x y z (fractional)
Br  0.5682  0.3333  0.6667  3 Pu 2.99
I  0.5410  0.3405  0.1702  2 Pu 3.11
I  0.0207  0.1703  0.8297  2 Pu 3.11
I  0.0207  0.6594  0.8297  2 Pu 3.11
I  0.0207  0.1703  0.3406  2 Pu 3.11
I  0.0266  0.6667  0.3333  3 Pu 3.19
I  0.5410  0.8298  0.6595  2 Pu 3.11
I  0.5410  0.8298  0.1702  2 Pu 3.11
Pu  0.7784  0.4982  0.5018  1 Br 2.99, 5 I 3.11-3.19
Pu  0.7784  0.0037  0.5018  1 Br 2.99, 5 I 3.11-3.19
Pu  0.7784  0.4982  0.9963  1 Br 2.99, 5 I 3.11-3.19

Total DFT energy (no corrections)   -0.2279 Ha/atom
Theoretical density   5.5 g cm⁻³

***

Record 2
Computed, not measured: a relaxed PuIBr2 crystal at the GGA-PBE level of DFT.

a = 4.0347 Å, b = 4.0347 Å, c = 11.6160 Å
α = 80.00°, β = 80.00°, γ = 60.00°
Closest atoms and distances in Å follow each position.
Element x y z (fractional)
I  0.0000  0.0000  0.0000  2 Br 3.92, 6 I 4.03
Br  0.1148  0.1148  0.6556  3 Pu 2.93
Br  0.8852  0.8852  0.3444  3 Pu 2.93
Pu  0.5000  0.5000  0.5000  6 Br 2.93

Total DFT energy (no corrections)   -0.2119 Ha/atom
E above lowest polymorph   0.348 eV per atom
Theoretical density   5.5 g cm⁻³

***

Record 3
Computed, not measured: a relaxed Pu2I3Br crystal at the GGA-PBE level of DFT.

a = 7.5551 Å, b = 8.7872 Å, c = 8.7872 Å
α = 120.00°, β = 90.00°, γ = 90.00°
Closest atoms and distances in Å follow each position.
Element x y z (fractional)
I  0.2556  0.3336  0.1668  3 Pu 3.19
I  0.2556  0.8332  0.6664  3 Pu 3.19
I  0.7444  0.1668  0.8332  3 Pu 3.19
I  0.7444  0.6664  0.8332  3 Pu 3.19
I  0.7444  0.1668  0.3336  3 Pu 3.19
I  0.2556  0.8332  0.1668  3 Pu 3.19
Pu  0.0000  0.5000  0.0000  2 Br 2.98, 4 I 3.19
Pu  0.0000  0.0000  0.5000  2 Br 2.98, 4 I 3.19
Pu  0.0000  0.0000  0.0000  6 I 3.19
Pu  0.0000  0.5000  0.5000  2 Br 2.98, 4 I 3.19
Br  0.7927  0.6667  0.3333  3 Pu 2.98
Br  0.2073  0.3333  0.6667  3 Pu 2.98

Total DFT energy (no corrections)   -0.2553 Ha/atom
Theoretical density   6.2 g cm⁻³

***

Record 4
Computed, not measured: a relaxed PuIBr3 crystal at the GGA-PBE level of DFT.

a = 8.2957 Å, b = 8.2963 Å, c = 8.2968 Å
α = 110.61°, β = 101.56°, γ = 116.60°
Closest atoms and distances in Å follow each position.
Element x y z (fractional)
I  0.4881  0.7817  0.2064  2 Pu 3.07
I  0.5752  0.2816  0.7936  2 Pu 3.07
Br  0.0317  0.2498  0.7181  1 Pu 2.66
Br  0.5316  0.3136  0.2819  1 Pu 2.66
Br  0.0317  0.8136  0.2819  1 Pu 2.66
Br  0.5317  0.7497  0.7181  1 Pu 2.66
Br  0.9569  0.2817  0.1752  2 Pu 2.85
Br  0.1065  0.7817  0.8248  2 Pu 2.85
Pu  0.0316  0.5317  0.0000  4 Br 2.66-2.85
Pu  0.5317  0.0317  0.0000  4 Br 2.66-2.85

Total DFT energy (no corrections)   -0.1957 Ha/atom
E above lowest polymorph   0.000 eV per atom
Theoretical density   4.7 g cm⁻³

***

Record 5
Computed, not measured: a relaxed PuIBr3 crystal at the GGA-PBE level of DFT.

a = 7.8743 Å, b = 7.2285 Å, c = 9.6632 Å
α = 83.80°, β = 51.44°, γ = 101.02°
Closest atoms and distances in Å follow each position.
Element x y z (fractional)
Br  0.0752  0.9043  0.2593  2 Pu 2.87-2.90
Br  0.1309  0.4356  0.1626  2 Pu 2.84-2.99
Br  0.5865  0.3985  0.3322  2 Pu 2.86-2.99
Br  0.8520  0.1668  0.6359  1 Pu 2.67
Br  0.6617  0.9360  0.2088  2 Pu 2.88-2.89
Br  0.2816  0.1050  0.7720  2 Pu 2.85-2.98
I  0.8501  0.6231  0.8391  1 Pu 2.93
I  0.4437  0.6736  0.6984  2 Pu 3.09-3.18
Pu  0.9904  0.7294  0.0464  5 Br 2.85-2.99, 2 I 2.93-3.18
Pu  0.7333  0.0993  0.4355  6 Br 2.67-2.99

Total DFT energy (no corrections)   -0.1955 Ha/atom
E above lowest polymorph   0.006 eV per atom
Theoretical density   5.0 g cm⁻³

***

Record 6
Computed, not measured: a relaxed PuIBr crystal at the GGA-PBE level of DFT.

a = 7.3825 Å, b = 4.2518 Å, c = 4.2518 Å
α = 120.00°, β = 90.00°, γ = 90.00°
Closest atoms and distances in Å follow each position.
Element x y z (fractional)
Br  0.2412  0.3333  0.6667  3 Pu 2.97
I  0.7445  0.6667  0.3333  3 Pu 3.16
Pu  0.0143  0.0000  0.0000  3 Br 2.97, 3 I 3.16

Total DFT energy (no corrections)   -0.2611 Ha/atom
E above lowest polymorph   0.002 eV per atom
Theoretical density   6.5 g cm⁻³